Entry 1:
Compound: AcThPdSe4
Source: the Alexandria database
Functional: GGA-PBE
Structure: relaxed

a = 7.2962 Å, b = 6.0154 Å, c = 8.6932 Å
α = 90.00°, β = 109.37°, γ = 90.00°
Last column: nearest neighbours and their distance in Å.
Space group P2_1/m (No. 11)
Symmetry-distinct sites (fractional):
Ac 0.2497 0.2500 0.0619 x2  6 Se 3.07-3.28
Th 0.2753 0.2500 0.5629 x2  8 Se 2.94-3.18, 1 Pd 3.30
Pd 0.2462 0.7500 0.2917 x2  4 Se 2.48-2.58
Se 0.0304 0.5136 0.7316 x4  1 Pd 2.52
Se 0.4272 0.7500 0.6021 x2  1 Pd 2.58
Se 0.4402 0.7500 0.1052 x2  1 Pd 2.48

Output
The calculation puts the uncorrected formation energy at -140.75 kJ/mol of atoms.

---

Entry 2:
Compound: RbSeF6
Source: the Alexandria database
Functional: GGA-PBE
Structure: relaxed

a = 6.8641 Å, b = 7.8945 Å, c = 5.2217 Å
α = 90.00°, β = 101.59°, γ = 90.00°
Last column: nearest neighbours and their distance in Å.
Space group C2/m (No. 12)
Symmetry-distinct sites (fractional):
Rb 0.0000 0.0000 0.0000 x2  12 F 3.04-3.16
Se 0.0000 0.5000 0.5000 x2  6 F 1.86
F 0.0855 0.3353 0.7512 x8  1 Se 1.86
F 0.2480 0.0000 0.5791 x4  1 Se 1.86

Output
The energy above the most stable polymorph in this dataset is 0.0 meV/atom. The calculation puts the uncorrected formation energy at -190.76 kJ/mol of atoms.